PmDyIr | GGA-PBE | relaxed

Space group = C2/m (12)
ΔE to the lowest computed polymorph = 66.3 meV per atom
Energy relative to the elements = -53 kJ per mole of atoms

Cell lengths 4.572, 4.572, 8.030 Å; angles 106.55, 106.55, 90.05 degrees
Sites, in units of the cell vectors:
Dy1 0.500 0.000 0.500
Dy2 0.000 0.500 0.500
Ir1 0.126 0.126 0.751
Ir2 0.874 0.874 0.249
Pm1 0.686 0.686 0.873
Pm2 0.314 0.314 0.127